# 1
Density functional theory data (GGA-PBE) for a relaxed structure of UInPbBr6.

Cell: 7.832 7.832 13.100 Å, 90.00 90.00 120.00°
Element x y z (fractional)
U 0.333 0.667 0.250
U 0.667 0.333 0.750
In 0.333 0.667 0.750
In 0.667 0.333 0.250
Pb 0.000 0.000 0.000
Pb 0.000 0.000 0.500
Br 0.038 0.354 0.123
Br 0.038 0.684 0.377
Br 0.316 0.354 0.377
Br 0.316 0.962 0.123
Br 0.354 0.038 0.623
Br 0.354 0.316 0.877
Br 0.646 0.684 0.123
Br 0.646 0.962 0.377
Br 0.684 0.038 0.877
Br 0.684 0.646 0.623
Br 0.962 0.316 0.623
Br 0.962 0.646 0.877

Calculated values
- space-group type = P-31c, No. 163
- formation energy without anion corrections (eV per atom) = -0.996
- volume (Å³/cell) = 695.96

***

# 2
Density functional theory data (GGA-PBE) for a relaxed structure of YInPbBr6.

Cell: 7.626 7.626 14.136 Å, 90.00 90.00 120.00°
Element x y z (fractional)
Y 0.333 0.667 0.250
Y 0.667 0.333 0.750
In 0.000 0.000 0.000
In 0.000 0.000 0.500
Pb 0.333 0.667 0.750
Pb 0.667 0.333 0.250
Br 0.023 0.375 0.134
Br 0.023 0.648 0.366
Br 0.352 0.375 0.366
Br 0.352 0.977 0.134
Br 0.375 0.023 0.634
Br 0.375 0.352 0.866
Br 0.625 0.648 0.134
Br 0.625 0.977 0.366
Br 0.648 0.023 0.866
Br 0.648 0.625 0.634
Br 0.977 0.352 0.634
Br 0.977 0.625 0.866

Calculated values
- space-group type = P-31c, No. 163
- formation energy without anion corrections (eV per atom) = -1.300
- volume (Å³/cell) = 711.98

***

# 3
Density functional theory data (GGA-PBE) for a relaxed structure of YInPb2Br8.

Cell: 6.870 9.221 7.245 Å, 90.00 90.91 90.00°
Element x y z (fractional)
Y 0.000 0.000 0.000
In 0.000 0.500 0.000
Pb 0.500 0.251 0.500
Pb 0.500 0.749 0.500
Br 0.236 0.219 0.155
Br 0.236 0.781 0.155
Br 0.239 0.000 0.681
Br 0.270 0.500 0.640
Br 0.730 0.500 0.360
Br 0.761 0.000 0.319
Br 0.764 0.219 0.845
Br 0.764 0.781 0.845

Calculated values
- space-group type = P2/m, No. 10
- formation energy without anion corrections (eV per atom) = -1.172
- volume (Å³/cell) = 458.90

***

# 4
Density functional theory data (GGA-PBE) for a relaxed structure of YIn2PbBr.

Cell: 5.699 5.699 5.364 Å, 90.00 90.00 90.00°
Element x y z (fractional)
Y 0.000 0.000 0.000
In 0.000 0.500 0.500
In 0.500 0.000 0.500
Pb 0.500 0.500 0.000
Br 0.000 0.000 0.500

Calculated values
- space-group type = P4/mmm, No. 123
- formation energy without anion corrections (eV per atom) = 0.113
- volume (Å³/cell) = 174.21

***

# 5
Density functional theory data (GGA-PBE) for a relaxed structure of In2PdBr.

Cell: 5.226 5.226 5.226 Å, 60.00 60.00 60.00°
Element x y z (fractional)
In 0.250 0.250 0.250
In 0.750 0.750 0.750
Pd 0.000 0.000 0.000
Br 0.500 0.500 0.500

Calculated values
- energy relative to the lowest polymorph listed for this composition (meV/atom) = 223
- space-group type = Fm-3m, No. 225
- formation energy without anion corrections (eV per atom) = -0.003
- volume (Å³/cell) = 100.92

***

# 6
Density functional theory data (GGA-PBE) for a relaxed structure of InPdBr2.

Cell: 8.465 8.465 8.465 Å, 136.02 136.02 63.95°
Element x y z (fractional)
In 0.000 0.000 0.000
In 0.750 0.250 0.500
Pd 0.250 0.750 0.500
Pd 0.500 0.500 0.000
Br 0.212 0.625 0.087
Br 0.375 0.462 0.587
Br 0.538 0.125 0.913
Br 0.875 0.788 0.413

Calculated values
- energy relative to the lowest polymorph listed for this composition (meV/atom) = 0
- space-group type = I-42d, No. 122
- formation energy without anion corrections (eV per atom) = -0.178
- volume (Å³/cell) = 288.60

***

# 7
Density functional theory data (GGA-PBE) for a relaxed structure of InPd3Br.

Cell: 4.841 4.841 4.841 Å, 90.00 90.00 90.00°
Element x y z (fractional)
In 0.000 0.000 0.000
Pd 0.000 0.500 0.500
Pd 0.500 0.000 0.500
Pd 0.500 0.500 0.000
Br 0.500 0.500 0.500

Calculated values
- energy relative to the lowest polymorph listed for this composition (meV/atom) = 0
- space-group type = Pm-3m, No. 221
- formation energy without anion corrections (eV per atom) = 0.365
- volume (Å³/cell) = 113.46

***

# 8
Density functional theory data (GGA-PBE) for a relaxed structure of InPd3Br.

Cell: 5.034 5.034 5.034 Å, 90.00 90.00 90.00°
Element x y z (fractional)
In 0.000 0.000 0.000
Pd 0.000 0.000 0.500
Pd 0.000 0.500 0.000
Pd 0.500 0.000 0.000
Br 0.500 0.500 0.500

Calculated values
- energy relative to the lowest polymorph listed for this composition (meV/atom) = 201
- space-group type = Pm-3m, No. 221
- formation energy without anion corrections (eV per atom) = 0.566
- volume (Å³/cell) = 127.58